A relaxed structure of CsSr2In2. Source: Alexandria, functional GGA-PBE.

Cell lengths 9.996, 9.996, 4.151 Å; angles 90.00, 90.00, 90.00 degrees
Atoms (fractional coordinates):
1 Cs 0.000 0.000 0.000
2 Cs 0.500 0.500 0.000
3 Sr 0.174 0.326 0.500
4 Sr 0.326 0.826 0.500
5 Sr 0.674 0.174 0.500
6 Sr 0.826 0.674 0.500
7 In 0.114 0.614 0.000
8 In 0.386 0.114 0.000
9 In 0.614 0.886 0.000
10 In 0.886 0.386 0.000

Summary:
The calculation puts the electronic total energy at -21.13 eV for the cell shown. As for the space-group type: P4/mbm, No. 127. As for the calculated volume: 41.5 Å³/atom. For the energy of formation from the pure elements, the calculation gives -0.17 eV per atom. The value obtained for the relative energy among the computed polymorphs is 24 meV per atom.

A relaxed structure of Cs3SrIn. Source: Alexandria, functional GGA-PBE.

Cell lengths 8.406, 8.406, 8.406 Å; angles 90.00, 90.00, 90.00 degrees
Atoms (fractional coordinates):
1 Cs 0.000 0.000 0.500
2 Cs 0.000 0.500 0.000
3 Cs 0.500 0.000 0.000
4 Sr 0.000 0.000 0.000
5 In 0.500 0.500 0.500

Summary:
The calculation puts the electronic total energy at -3.94 eV for the cell shown. As for the space-group type: Pm-3m, No. 221. As for the calculated volume: 118.8 Å³/atom. For the energy of formation from the pure elements, the calculation gives 0.61 eV per atom.

A relaxed structure of CsSrIn2. Source: Alexandria, functional GGA-PBE.

Cell lengths 9.878, 9.878, 7.365 Å; angles 90.00, 90.00, 90.00 degrees
Atoms (fractional coordinates):
1 Cs 0.000 0.000 0.000
2 Cs 0.000 0.500 0.250
3 Cs 0.500 0.000 0.750
4 Cs 0.500 0.500 0.500
5 Sr 0.000 0.000 0.500
6 Sr 0.000 0.500 0.750
7 Sr 0.500 0.000 0.250
8 Sr 0.500 0.500 0.000
9 In 0.218 0.250 0.625
10 In 0.250 0.718 0.875
11 In 0.250 0.782 0.375
12 In 0.282 0.250 0.125
13 In 0.718 0.750 0.125
14 In 0.750 0.218 0.375
15 In 0.750 0.282 0.875
16 In 0.782 0.750 0.625

Summary:
The calculation puts the electronic total energy at -29.04 eV for the cell shown. As for the space-group type: I-42d, No. 122. As for the calculated volume: 44.9 Å³/atom. For the energy of formation from the pure elements, the calculation gives 0.19 eV per atom. The value obtained for the relative energy among the computed polymorphs is 214 meV per atom.

A relaxed structure of CsSr2In. Source: Alexandria, functional GGA-PBE.

Cell lengths 8.153, 8.153, 19.900 Å; angles 90.00, 90.00, 90.00 degrees
Atoms (fractional coordinates):
1 Cs 0.000 0.000 0.000
2 Cs 0.000 0.500 0.250
3 Cs 0.500 0.000 0.750
4 Cs 0.500 0.500 0.500
5 Sr 0.020 0.250 0.625
6 Sr 0.250 0.520 0.875
7 Sr 0.250 0.980 0.375
8 Sr 0.480 0.250 0.125
9 Sr 0.520 0.750 0.125
10 Sr 0.750 0.020 0.375
11 Sr 0.750 0.480 0.875
12 Sr 0.980 0.750 0.625
13 In 0.000 0.000 0.500
14 In 0.000 0.500 0.750
15 In 0.500 0.000 0.250
16 In 0.500 0.500 0.000

Summary:
The calculation puts the electronic total energy at -23.45 eV for the cell shown. As for the space-group type: I-42d, No. 122. As for the calculated volume: 82.7 Å³/atom. For the energy of formation from the pure elements, the calculation gives 0.27 eV per atom.

A relaxed structure of CsSr3In. Source: Alexandria, functional GGA-PBE.

Cell lengths 6.194, 6.194, 6.194 Å; angles 90.00, 90.00, 90.00 degrees
Atoms (fractional coordinates):
1 Cs 0.000 0.000 0.000
2 Sr 0.000 0.000 0.500
3 Sr 0.000 0.500 0.000
4 Sr 0.500 0.000 0.000
5 In 0.500 0.500 0.500

Summary:
The calculation puts the electronic total energy at -4.24 eV for the cell shown. As for the space-group type: Pm-3m, No. 221. As for the calculated volume: 47.5 Å³/atom. For the energy of formation from the pure elements, the calculation gives 0.88 eV per atom.

A relaxed structure of CsSr2In2. Source: Alexandria, functional GGA-PBE.

Cell lengths 6.214, 6.214, 11.765 Å; angles 90.00, 90.00, 90.00 degrees
Atoms (fractional coordinates):
1 Cs 0.000 0.000 0.000
2 Cs 0.500 0.500 0.500
3 Sr 0.000 0.500 0.250
4 Sr 0.000 0.500 0.750
5 Sr 0.500 0.000 0.250
6 Sr 0.500 0.000 0.750
7 In 0.000 0.000 0.382
8 In 0.000 0.000 0.618
9 In 0.500 0.500 0.118
10 In 0.500 0.500 0.882

Summary:
The calculation puts the electronic total energy at -20.93 eV for the cell shown. As for the space-group type: I4/mmm, No. 139. As for the calculated volume: 45.4 Å³/atom. For the energy of formation from the pure elements, the calculation gives -0.15 eV per atom. The value obtained for the relative energy among the computed polymorphs is 45 meV per atom.

A relaxed structure of CsSrIn2. Source: Alexandria, functional GGA-PBE.

Cell lengths 8.617, 8.617, 8.617 Å; angles 90.00, 90.00, 90.00 degrees
Atoms (fractional coordinates):
1 Cs 0.000 0.000 0.000
2 Cs 0.000 0.500 0.500
3 Cs 0.500 0.000 0.500
4 Cs 0.500 0.500 0.000
5 Sr 0.000 0.000 0.500
6 Sr 0.000 0.500 0.000
7 Sr 0.500 0.000 0.000
8 Sr 0.500 0.500 0.500
9 In 0.250 0.250 0.250
10 In 0.250 0.250 0.750
11 In 0.250 0.750 0.250
12 In 0.250 0.750 0.750
13 In 0.750 0.250 0.250
14 In 0.750 0.250 0.750
15 In 0.750 0.750 0.250
16 In 0.750 0.750 0.750

Summary:
The calculation puts the electronic total energy at -32.47 eV for the cell shown. As for the space-group type: Fm-3m, No. 225. As for the calculated volume: 40.0 Å³/atom. For the energy of formation from the pure elements, the calculation gives -0.03 eV per atom. The value obtained for the relative energy among the computed polymorphs is 0 meV per atom.

A relaxed structure of CsSr2YIn. Source: Alexandria, functional GGA-PBE.

Cell lengths 6.511, 6.511, 6.734 Å; angles 90.00, 90.00, 90.00 degrees
Atoms (fractional coordinates):
1 Cs 0.000 0.000 0.000
2 Sr 0.000 0.500 0.500
3 Sr 0.500 0.000 0.500
4 Y 0.500 0.500 0.000
5 In 0.000 0.000 0.500

Summary:
The calculation puts the electronic total energy at -10.82 eV for the cell shown. As for the space-group type: P4/mmm, No. 123. As for the calculated volume: 57.1 Å³/atom. For the energy of formation from the pure elements, the calculation gives 0.52 eV per atom.

A relaxed structure of CsSr2ZrIn. Source: Alexandria, functional GGA-PBE.

Cell lengths 6.134, 6.134, 5.969 Å; angles 90.00, 90.00, 90.00 degrees
Atoms (fractional coordinates):
1 Cs 0.000 0.000 0.000
2 Sr 0.000 0.500 0.000
3 Sr 0.500 0.000 0.000
4 Zr 0.500 0.500 0.500
5 In 0.000 0.000 0.500

Summary:
The calculation puts the electronic total energy at -8.58 eV for the cell shown. As for the space-group type: P4/mmm, No. 123. As for the calculated volume: 44.9 Å³/atom. For the energy of formation from the pure elements, the calculation gives 1.38 eV per atom.

A relaxed structure of CsTaIn3. Source: Alexandria, functional GGA-PBE.

Cell lengths 5.591, 5.591, 5.591 Å; angles 90.00, 90.00, 90.00 degrees
Atoms (fractional coordinates):
1 Cs 0.000 0.000 0.000
2 Ta 0.500 0.500 0.500
3 In 0.000 0.500 0.500
4 In 0.500 0.000 0.500
5 In 0.500 0.500 0.000

Summary:
The calculation puts the electronic total energy at -19.24 eV for the cell shown. As for the space-group type: Pm-3m, No. 221. As for the calculated volume: 35.0 Å³/atom. For the energy of formation from the pure elements, the calculation gives 0.34 eV per atom. The value obtained for the relative energy among the computed polymorphs is 0 meV per atom.

Q: What is the formula in the sixth record?
A: CsSr2In2

Q: Look up the calculated volume of the fifth one.
A: 47.5 Å³/atom